No. 1
This record from the Alexandria database describes a relaxed structure of CdSi2Pb. The functional is PBE.

Unit cell a=5.1589 b=5.1589 c=3.4766 alpha=90.00 beta=90.00 gamma=106.01
Sites, in units of the cell vectors:
Cd1 0.0000 0.0000 0.0000
Si1 0.0000 0.5000 0.5000
Si2 0.5000 0.0000 0.5000
Pb1 0.5000 0.5000 0.0000

Calculated values
crystal system: orthorhombic
formation energy from raw total energies: 0.58 eV/atom
space group: Cmmm
spin magnetization: 0.00 μB/f.u.
N(E_F): 1.90 states/eV/f.u.


No. 2
This record from the Alexandria database describes a relaxed structure of Cd2SiPb. The functional is PBE.

Unit cell a=5.1610 b=5.1610 c=5.1610 alpha=60.00 beta=60.00 gamma=60.00
Sites, in units of the cell vectors:
Cd1 0.0000 0.0000 0.0000
Cd2 0.2500 0.2500 0.2500
Si1 0.7500 0.7500 0.7500
Pb1 0.5000 0.5000 0.5000

Calculated values
crystal system: cubic
formation energy from raw total energies: 0.33 eV/atom
space group: F-43m
spin magnetization: 0.00 μB/f.u.
N(E_F): 1.09 states/eV/f.u.


No. 3
This record from the Alexandria database describes a relaxed structure of CdSi2Pb. The functional is PBE.

Unit cell a=6.6043 b=6.6043 c=6.6043 alpha=147.59 beta=142.86 gamma=50.10
Sites, in units of the cell vectors:
Cd1 0.0000 0.0000 0.0000
Si1 0.5547 0.5547 0.0000
Si2 0.6847 0.1847 0.5000
Pb1 0.2979 0.7979 0.5000

Calculated values
crystal system: orthorhombic
formation energy from raw total energies: 0.35 eV/atom
space group: Imm2
spin magnetization: 0.00 μB/f.u.
N(E_F): 1.82 states/eV/f.u.


No. 4
This record from the Alexandria database describes a relaxed structure of CdSi2Pb. The functional is PBE.

Unit cell a=7.2536 b=7.2536 c=7.2536 alpha=31.48 beta=31.48 gamma=31.48
Sites, in units of the cell vectors:
Cd1 0.0000 0.0000 0.0000
Si1 0.2567 0.2567 0.2567
Si2 0.7433 0.7433 0.7433
Pb1 0.5000 0.5000 0.5000

Calculated values
crystal system: trigonal
formation energy from raw total energies: 0.55 eV/atom
space group: R-3m
spin magnetization: 0.00 μB/f.u.
N(E_F): 1.88 states/eV/f.u.


No. 5
This record from the Alexandria database describes a relaxed structure of Cd2SiPb2. The functional is PBE.

Unit cell a=7.6609 b=7.6609 c=4.7967 alpha=90.00 beta=90.00 gamma=90.00
Sites, in units of the cell vectors:
Cd1 0.1511 0.3489 0.0000
Cd2 0.3489 0.8489 0.0000
Cd3 0.6511 0.1511 0.0000
Cd4 0.8489 0.6511 0.0000
Si1 0.0000 0.0000 0.5000
Si2 0.5000 0.5000 0.5000
Pb1 0.1583 0.6583 0.5000
Pb2 0.3417 0.1583 0.5000
Pb3 0.6583 0.8417 0.5000
Pb4 0.8417 0.3417 0.5000

Calculated values
crystal system: tetragonal
formation energy from raw total energies: 0.38 eV/atom
space group: P4/mbm
spin magnetization: 0.00 μB/f.u.
N(E_F): 2.37 states/eV/f.u.


No. 6
This record from the Alexandria database describes a relaxed structure of CdSiPb. The functional is PBE.

Unit cell a=4.5028 b=4.5028 c=4.3859 alpha=90.00 beta=90.00 gamma=120.00
Sites, in units of the cell vectors:
Cd1 0.0000 0.0000 0.0000
Si1 0.6667 0.3333 0.9966
Pb1 0.3333 0.6667 0.4988

Calculated values
crystal system: trigonal
formation energy from raw total energies: 0.33 eV/atom
space group: P3m1
spin magnetization: 0.00 μB/f.u.
N(E_F): 0.66 states/eV/f.u.


No. 7
This record from the Alexandria database describes a relaxed structure of Cd2SiPb2. The functional is PBE.

Unit cell a=7.1852 b=7.1852 c=5.1021 alpha=90.00 beta=90.00 gamma=90.00
Sites, in units of the cell vectors:
Cd1 0.1412 0.3588 0.0000
Cd2 0.3588 0.8588 0.0000
Cd3 0.6412 0.1412 0.0000
Cd4 0.8588 0.6412 0.0000
Si1 0.0000 0.0000 0.0000
Si2 0.5000 0.5000 0.0000
Pb1 0.1735 0.6735 0.5000
Pb2 0.3265 0.1735 0.5000
Pb3 0.6735 0.8265 0.5000
Pb4 0.8265 0.3265 0.5000

Calculated values
crystal system: tetragonal
formation energy from raw total energies: 0.27 eV/atom
space group: P4/mbm
spin magnetization: 0.00 μB/f.u.
N(E_F): 1.17 states/eV/f.u.


No. 8
This record from the Alexandria database describes a relaxed structure of CdSi2Pb. The functional is PBE.

Unit cell a=5.6032 b=5.6032 c=5.6032 alpha=134.31 beta=134.31 gamma=66.60
Sites, in units of the cell vectors:
Cd1 0.0000 0.0000 0.0000
Si1 0.5000 0.5000 0.0000
Si2 0.7500 0.2500 0.5000
Pb1 0.2500 0.7500 0.5000

Calculated values
crystal system: tetragonal
formation energy from raw total energies: 0.57 eV/atom
space group: I-4m2
spin magnetization: 0.00 μB/f.u.
N(E_F): 2.42 states/eV/f.u.


No. 9
This record from the Alexandria database describes a relaxed structure of CdSi2Pb. The functional is PBE.

Unit cell a=5.0122 b=5.0122 c=5.0122 alpha=60.00 beta=60.00 gamma=60.00
Sites, in units of the cell vectors:
Cd1 0.0000 0.0000 0.0000
Si1 0.2500 0.2500 0.2500
Si2 0.7500 0.7500 0.7500
Pb1 0.5000 0.5000 0.5000

Calculated values
crystal system: cubic
formation energy from raw total energies: 0.59 eV/atom
space group: Fm-3m
spin magnetization: 0.00 μB/f.u.
N(E_F): 2.26 states/eV/f.u.


No. 10
This record from the Alexandria database describes a relaxed structure of Cd2SiPb. The functional is PBE.

Unit cell a=3.3299 b=5.1382 c=5.6965 alpha=90.00 beta=97.34 gamma=90.00
Sites, in units of the cell vectors:
Cd1 0.1395 0.0000 0.2660
Cd2 0.8605 0.0000 0.7340
Si1 0.0000 0.5000 0.5000
Pb1 0.5000 0.5000 0.0000

Calculated values
crystal system: monoclinic
formation energy from raw total energies: 0.32 eV/atom
space group: P2/m
spin magnetization: 0.00 μB/f.u.
N(E_F): 1.46 states/eV/f.u.


| no. | distance to the lowest polymorph of the same formula (eV per atom) | final energy (eV per atom) |
| --- | --- | --- |
| 1 | 0.358 | -3.2892 |
| 2 | 0.063 | -2.4089 |
| 3 | 0.135 | -3.5127 |
| 4 | 0.332 | -3.3157 |
| 5 | 0.116 | -2.5502 |
| 6 | 0.029 | -3.0140 |
| 7 | 0.000 | -2.6666 |
| 8 | 0.354 | -3.2938 |
| 9 | 0.371 | -3.2764 |
| 10 | 0.047 | -2.4246 |